1.
Material: HoZn6Cu4
Method: DFT, PBE
State: relaxed

Structure (CIF):
```
data_HoZn6Cu4
_cell_length_a 6.321
_cell_length_b 6.321
_cell_length_c 9.167
_cell_angle_alpha 90.00
_cell_angle_beta 90.00
_cell_angle_gamma 90.00
_space_group_name_H-M_alt 'I -4 2 m'
_space_group_IT_number 121
_space_group_name_Hall 'I -4 2'
loop_
_atom_site_label
_atom_site_fract_x
_atom_site_fract_y
_atom_site_fract_z
Ho1 0.000 0.000 0.000
Zn1 0.000 0.500 0.000
Zn2 0.191 0.191 0.296
Cu1 0.164 0.164 0.576
```

Output
- electronic total energy (eV per cell) = -58.70
- magnetic moment (μB per formula unit) = 0.0

=====

2.
Material: Rb2ZrHgBr6
Method: DFT, PBE
State: relaxed

Structure (CIF):
```
data_Rb2ZrHgBr6
_cell_length_a 12.044
_cell_length_b 12.044
_cell_length_c 12.044
_cell_angle_alpha 90.00
_cell_angle_beta 90.00
_cell_angle_gamma 90.00
_space_group_name_H-M_alt 'F m -3 m'
_space_group_IT_number 225
_space_group_name_Hall '-F 4 2 3'
loop_
_atom_site_label
_atom_site_fract_x
_atom_site_fract_y
_atom_site_fract_z
Rb1 0.250 0.250 0.250
Zr1 0.000 0.000 0.000
Hg1 0.000 0.000 0.500
Br1 0.000 0.000 0.220
```

Output
- magnetic moment (μB per formula unit) = 0.0
- energy relative to the elements, uncorrected (meV/atom) = -1353
- polymorph energy (0 for the lowest one) (eV/atom) = 0.0547

=====

3.
Material: TaSbSeBr2
Method: DFT, PBE
State: relaxed

Structure (CIF):
```
data_TaSbSeBr2
_cell_length_a 5.451
_cell_length_b 5.451
_cell_length_c 5.584
_cell_angle_alpha 90.00
_cell_angle_beta 90.00
_cell_angle_gamma 90.00
_space_group_name_H-M_alt 'P 4/m m m'
_space_group_IT_number 123
_space_group_name_Hall '-P 4 2'
loop_
_atom_site_label
_atom_site_fract_x
_atom_site_fract_y
_atom_site_fract_z
Ta1 0.000 0.000 0.000
Sb1 0.500 0.500 0.500
Se1 0.500 0.500 0.000
Br1 0.000 0.500 0.500
```

Output
- magnetic moment (μB per formula unit) = 3.8
- energy relative to the elements, uncorrected (meV/atom) = 1059
- polymorph energy (0 for the lowest one) (eV/atom) = 0.8793

=====

4.
Material: NaDyErIn
Method: DFT, PBE
State: relaxed

Structure (CIF):
```
data_NaDyErIn
_cell_length_a 7.594
_cell_length_b 7.594
_cell_length_c 7.594
_cell_angle_alpha 90.00
_cell_angle_beta 90.00
_cell_angle_gamma 90.00
_space_group_name_H-M_alt 'F -4 3 m'
_space_group_IT_number 216
_space_group_name_Hall 'F -4 2 3'
loop_
_atom_site_label
_atom_site_fract_x
_atom_site_fract_y
_atom_site_fract_z
Na1 0.000 0.000 0.000
Dy1 0.250 0.250 0.250
Er1 0.250 0.250 0.750
In1 0.000 0.000 0.500
```

Output
- electronic total energy (eV per cell) = -54.64
- magnetic moment (μB per formula unit) = 0.0

=====

5.
Material: FeSiHg2
Method: DFT, PBE
State: relaxed

Structure (CIF):
```
data_FeSiHg2
_cell_length_a 2.890
_cell_length_b 2.890
_cell_length_c 9.056
_cell_angle_alpha 90.00
_cell_angle_beta 90.00
_cell_angle_gamma 90.00
_space_group_name_H-M_alt 'P 4/m m m'
_space_group_IT_number 123
_space_group_name_Hall '-P 4 2'
loop_
_atom_site_label
_atom_site_fract_x
_atom_site_fract_y
_atom_site_fract_z
Fe1 0.000 0.000 0.000
Si1 0.000 0.000 0.500
Hg1 0.500 0.500 0.224
```

Output
- magnetic moment (μB per formula unit) = 3.0
- energy relative to the elements, uncorrected (meV/atom) = 567

=====

6.
Material: Nd6Co2RhCl3
Method: DFT, PBE
State: relaxed

Structure (CIF):
```
data_Nd6Co2RhCl3
_cell_length_a 6.934
_cell_length_b 12.018
_cell_length_c 7.903
_cell_angle_alpha 90.00
_cell_angle_beta 106.94
_cell_angle_gamma 90.00
_space_group_name_H-M_alt 'C 1 2/m 1'
_space_group_IT_number 12
loop_
_space_group_symop_operation_xyz
'x,y,z'
'-x,-y,-z'
'-x,y,-z'
'x,-y,z'
'x+1/2,y+1/2,z'
'-x+1/2,-y+1/2,-z'
'-x+1/2,y+1/2,-z'
'x+1/2,-y+1/2,z'
loop_
_atom_site_label
_atom_site_fract_x
_atom_site_fract_y
_atom_site_fract_z
Nd1 0.224 0.000 0.202
Nd2 0.239 0.328 0.202
Co1 0.000 0.166 0.000
Rh1 0.000 0.500 0.000
Cl1 0.000 0.000 0.500
Cl2 0.000 0.331 0.500
```

Output
- magnetic moment (μB per formula unit) = 0.0
- energy relative to the elements, uncorrected (meV/atom) = -943

=====

7.
Material: Be2GeAu2
Method: DFT, PBE
State: relaxed

Structure (CIF):
```
data_Be2GeAu2
_cell_length_a 4.150
_cell_length_b 4.150
_cell_length_c 9.323
_cell_angle_alpha 90.00
_cell_angle_beta 90.00
_cell_angle_gamma 90.00
_space_group_name_H-M_alt 'I 4/m m m'
_space_group_IT_number 139
_space_group_name_Hall '-I 4 2'
loop_
_atom_site_label
_atom_site_fract_x
_atom_site_fract_y
_atom_site_fract_z
Be1 0.000 0.000 0.120
Ge1 0.000 0.000 0.500
Au1 0.000 0.500 0.250
```

Output
- magnetic moment (μB per formula unit) = 0.0
- polymorph energy (0 for the lowest one) (eV/atom) = 0.1754

=====

8.
Material: TlCo2Br
Method: DFT, PBE
State: relaxed

Structure (CIF):
```
data_TlCo2Br
_cell_length_a 3.293
_cell_length_b 3.921
_cell_length_c 6.304
_cell_angle_alpha 90.00
_cell_angle_beta 90.00
_cell_angle_gamma 90.00
_space_group_name_H-M_alt 'P m m m'
_space_group_IT_number 47
loop_
_space_group_symop_operation_xyz
'x,y,z'
'-x,-y,-z'
'-x,-y,z'
'x,y,-z'
'x,-y,-z'
'-x,y,z'
'-x,y,-z'
'x,-y,z'
loop_
_atom_site_label
_atom_site_fract_x
_atom_site_fract_y
_atom_site_fract_z
Tl1 0.000 0.000 0.000
Co1 0.500 0.500 0.176
Br1 0.000 0.500 0.500
```

Output
- magnetic moment (μB per formula unit) = 3.1
- energy relative to the elements, uncorrected (meV/atom) = 451
- polymorph energy (0 for the lowest one) (eV/atom) = 0.1064